# Pm2Dy5Pb4 PBE relaxed
# Magnetization ... 0.00 Bohr magnetons per cell
# DOS(E_F) ... 12.13 states/eV/f.u.
# ΔE_f ... -0.1248 eV per atom
# Raw total energy ... -48.7 eV/cell
# Space-group type ... C2/m (12)
data_Pm2Dy5Pb4
_chemical_formula_sum 'Pm2 Dy5 Pb4'
_cell_length_a 13.6802
_cell_length_b 13.6802
_cell_length_c 7.4360
_cell_angle_alpha 91.85
_cell_angle_beta 91.85
_cell_angle_gamma 14.89
_symmetry_space_group_name_H-M 'P 1'
_symmetry_Int_Tables_number 1
_symmetry_space_group_name_Hall 'P 1'
loop_
_atom_site_label
_atom_site_fract_x
_atom_site_fract_y
_atom_site_fract_z
_atom_site_occupancy
Pm1 0.0895 0.0895 0.2848 1
Pm2 0.9105 0.9105 0.7152 1
Dy1 0.1437 0.1437 0.8322 1
Dy2 0.2369 0.2369 0.2052 1
Dy3 0.5000 0.5000 0.0000 1
Dy4 0.7631 0.7631 0.7948 1
Dy5 0.8563 0.8563 0.1678 1
Pb1 0.0345 0.0345 0.6720 1
Pb2 0.3237 0.3237 0.5062 1
Pb3 0.6763 0.6763 0.4938 1
Pb4 0.9655 0.9655 0.3280 1